(1)
The following is a DFT calculation (PBE) of crystalline CePrSbBr at its relaxed geometry.

a = 7.671 Å, b = 7.671 Å, c = 7.671 Å
α = 90.00°, β = 90.00°, γ = 90.00°
Space group F-43m (No. 216)
One atom of each set of equivalent atoms:
Ce1 0.000 0.000 0.000
Pr1 0.000 0.000 0.500
Sb1 0.250 0.250 0.250
Br1 0.250 0.250 0.750

size of the total moment	0.49	μB per atom
E_form (uncorrected)	-1.07	eV/atom

***

(2)
The following is a DFT calculation (PBE) of crystalline Ce3Ga2Hg at its relaxed geometry.

a = 3.268 Å, b = 3.268 Å, c = 13.278 Å
α = 90.00°, β = 90.00°, γ = 90.00°
Space group P4/mmm (No. 123)
One atom of each set of equivalent atoms:
Ce1 0.000 0.000 0.000
Ce2 0.000 0.000 0.320
Ga1 0.500 0.500 0.162
Hg1 0.500 0.500 0.500

size of the total moment	0.11	μB per atom
DFT formation energy	-434	meV/atom

***

(3)
The following is a DFT calculation (PBE) of crystalline BeC at its relaxed geometry.

a = 3.194 Å, b = 8.996 Å, c = 3.442 Å
α = 90.00°, β = 90.00°, γ = 90.00°
Space group Pmmn (No. 59, origin choice 2)
One atom of each set of equivalent atoms:
Be1 0.250 0.002 0.235
Be2 0.250 0.250 0.412
C1 0.250 0.103 0.735
C2 0.250 0.250 0.922

size of the total moment	0.00	μB per atom
DFT formation energy	387	meV/atom

***

(4)
The following is a DFT calculation (PBE) of crystalline DyThTe6 at its relaxed geometry.

a = 4.433 Å, b = 4.431 Å, c = 26.631 Å
α = 90.00°, β = 90.00°, γ = 90.00°
Space group Amm2 (No. 38)
One atom of each set of equivalent atoms:
Dy1 0.000 0.000 0.000
Th1 0.500 0.000 0.340
Te1 0.000 0.000 0.249
Te2 0.000 0.000 0.588
Te3 0.000 0.000 0.877
Te4 0.500 0.000 0.089
Te5 0.500 0.000 0.462
Te6 0.500 0.000 0.749

size of the total moment	0.00	μB per atom
E_form (uncorrected)	-0.94	eV/atom

***

(5)
The following is a DFT calculation (PBE) of crystalline DyAsRh3 at its relaxed geometry.

a = 4.017 Å, b = 4.017 Å, c = 10.924 Å
α = 90.00°, β = 90.00°, γ = 90.00°
Space group I4mm (No. 107)
One atom of each set of equivalent atoms:
Dy1 0.000 0.000 0.000
As1 0.000 0.000 0.634
Rh1 0.000 0.000 0.421
Rh2 0.000 0.500 0.257

size of the total moment	0.00	μB per atom
DFT formation energy	-710	meV/atom

***

(6)
The following is a DFT calculation (PBE) of crystalline Th4Bi4Sb at its relaxed geometry.

a = 8.370 Å, b = 8.370 Å, c = 9.094 Å
α = 90.00°, β = 90.00°, γ = 90.00°
Space group I-42m (No. 121)
One atom of each set of equivalent atoms:
Th1 0.236 0.236 0.180
Bi1 0.000 0.000 0.339
Bi2 0.000 0.500 0.000
Sb1 0.000 0.000 0.000

size of the total moment	0.01	μB per atom
E_form (uncorrected)	-0.11	eV/atom

***

(7)
The following is a DFT calculation (PBE) of crystalline CoGe at its relaxed geometry.

a = 8.932 Å, b = 8.932 Å, c = 3.892 Å
α = 90.00°, β = 90.00°, γ = 90.00°
Space group I4/m (No. 87)
One atom of each set of equivalent atoms:
Co1 0.195 0.702 0.000
Ge1 0.055 0.303 0.000

size of the total moment	0.00	μB per atom
DFT formation energy	304	meV/atom

***

(8)
The following is a DFT calculation (PBE) of crystalline PrDyCuRu at its relaxed geometry.

a = 7.010 Å, b = 7.010 Å, c = 7.010 Å
α = 90.00°, β = 90.00°, γ = 90.00°
Space group F-43m (No. 216)
One atom of each set of equivalent atoms:
Pr1 0.000 0.000 0.000
Dy1 0.000 0.000 0.500
Cu1 0.250 0.250 0.250
Ru1 0.250 0.250 0.750

size of the total moment	0.00	μB per atom
DFT formation energy	-216	meV/atom